A geometry-optimized CrNi2PtC structure, computed with PBE-GGA.

It has space group P4/mmm (No. 123), with a = 3.8177 Å, b = 3.8177 Å, c = 3.9178 Å, α = 90.00°, β = 90.00° and γ = 90.00°. The asymmetric unit holds Cr at (0.0000, 0.0000, 0.0000), Ni at (0.0000, 0.5000, 0.5000), Pt at (0.5000, 0.5000, 0.0000) and C at (0.0000, 0.0000, 0.5000).

The calculation puts the formation energy at 0.071 eV/atom. For the density of states at the Fermi level, the calculation gives 6.93 states/eV per cell. The volume is 11.4 Å³ per atom.

---

A geometry-optimized Cr2NiPtC structure, computed with PBE-GGA.

It has space group P4/mmm (No. 123), with a = 3.9151 Å, b = 3.9151 Å, c = 3.8095 Å, α = 90.00°, β = 90.00° and γ = 90.00°. The asymmetric unit holds Cr at (0.0000, 0.5000, 0.0000), Ni at (0.0000, 0.0000, 0.5000), Pt at (0.5000, 0.5000, 0.5000) and C at (0.0000, 0.0000, 0.0000).

The calculation puts the formation energy at 0.019 eV/atom. For the density of states at the Fermi level, the calculation gives 7.54 states/eV per cell. The volume is 11.7 Å³ per atom.

---

A geometry-optimized RbCr2NiC structure, computed with PBE-GGA.

It has space group P4/mmm (No. 123), with a = 5.4983 Å, b = 5.4983 Å, c = 4.5592 Å, α = 90.00°, β = 90.00° and γ = 90.00°. The asymmetric unit holds Rb at (0.0000, 0.0000, 0.0000), Cr at (0.0000, 0.5000, 0.0000), Ni at (0.0000, 0.0000, 0.5000) and C at (0.5000, 0.5000, 0.5000).

The calculation puts the formation energy at 3.442 eV/atom. For the density of states at the Fermi level, the calculation gives 2.21 states/eV per cell. The volume is 27.6 Å³ per atom.

---

A geometry-optimized CrNiSbC structure, computed with PBE-GGA.

It has space group Cm (No. 8), with a = 8.5109 Å, b = 2.9169 Å, c = 5.2177 Å, α = 90.00°, β = 123.85° and γ = 90.00°. The asymmetric unit holds Cr at (0.0000, 0.0000, 0.0000), Ni at (0.1514, 0.5000, 0.7176), Sb at (0.3345, 0.5000, 0.3615) and C at (0.3345, 0.0000, 0.8628).

The value obtained for the relative energy among the computed polymorphs is 206 meV per atom. For the density of states at the Fermi level, the calculation gives 5.49 states/eV per cell. The uncorrected formation energy is 0.408 eV per atom. The volume is 13.4 Å³ per atom.